[1]
This record from Alexandria describes a relaxed CsSr3Tl crystal. The functional is PBE.

```
CsSr3Tl
1.0
6.658 0.000 0.000
0.000 6.658 0.000
0.000 0.000 6.658
Cs Sr Tl
1 3 1
Direct
0.500 0.500 0.500
0.000 0.500 0.000
0.000 0.000 0.500
0.500 0.000 0.000
0.000 0.000 0.000
```

Calculated values
As for the density: 3.38 g cm⁻³. The density of states at the Fermi level is 3.5 states/eV per cell. The raw total energy comes out at -1.7069 eV per atom. As for the formation energy from the elements: -54 meV/atom. The calculation puts the excess energy over the best structure of this formula in the dataset at 0 meV per atom. As for the volume: 295.1 Å³ per cell. The space group is No. 221.

***

[2]
This record from Alexandria describes a relaxed Zr2MnV crystal. The functional is PBE.

```
Zr2MnV
1.0
-2.571 -0.615 3.804
2.023 -1.184 3.996
0.234 3.057 3.473
Mn Zr V
1 2 1
Direct
0.000 0.000 0.000
0.250 0.250 0.250
0.750 0.750 0.750
0.500 0.500 0.500
```

Calculated values
As for the density: 6.81 g cm⁻³. The density of states at the Fermi level is 5.2 states/eV per cell. The raw total energy comes out at -8.7513 eV per atom. As for the formation energy from the elements: 95 meV/atom. The calculation puts the excess energy over the best structure of this formula in the dataset at 0 meV per atom. As for the volume: 70.3 Å³ per cell. The space group is No. 225.

***

> excess energy over the best structure of this formula in the dataset of number 2 (Zr2MnV)?

0 meV per atom

***

Repeat the first record exactly.
This record from Alexandria describes a relaxed CsSr3Tl crystal. The functional is PBE.

```
CsSr3Tl
1.0
6.658 0.000 0.000
0.000 6.658 0.000
0.000 0.000 6.658
Cs Sr Tl
1 3 1
Direct
0.500 0.500 0.500
0.000 0.500 0.000
0.000 0.000 0.500
0.500 0.000 0.000
0.000 0.000 0.000
```

Calculated values
As for the density: 3.38 g cm⁻³. The density of states at the Fermi level is 3.5 states/eV per cell. The raw total energy comes out at -1.7069 eV per atom. As for the formation energy from the elements: -54 meV/atom. The calculation puts the excess energy over the best structure of this formula in the dataset at 0 meV per atom. As for the volume: 295.1 Å³ per cell. The space group is No. 221.

***

Repeat the second record exactly.
This record from Alexandria describes a relaxed Zr2MnV crystal. The functional is PBE.

```
Zr2MnV
1.0
-2.571 -0.615 3.804
2.023 -1.184 3.996
0.234 3.057 3.473
Mn Zr V
1 2 1
Direct
0.000 0.000 0.000
0.250 0.250 0.250
0.750 0.750 0.750
0.500 0.500 0.500
```

Calculated values
As for the density: 6.81 g cm⁻³. The density of states at the Fermi level is 5.2 states/eV per cell. The raw total energy comes out at -8.7513 eV per atom. As for the formation energy from the elements: 95 meV/atom. The calculation puts the excess energy over the best structure of this formula in the dataset at 0 meV per atom. As for the volume: 70.3 Å³ per cell. The space group is No. 225.